Compound: NiOsRu2
Source: Alexandria
Functional: PBE
Structure: relaxed Values from VASP.

Cell and atoms, written as Quantum ESPRESSO input:
```
&SYSTEM
  ibrav = 0, nat = 4, ntyp = 3
/
ATOMIC_SPECIES
Ni 58.69 Ni.upf
Os 190.23 Os.upf
Ru 101.07 Ru.upf
ATOMIC_POSITIONS angstrom
Ni 1.772 -1.962 -0.331
Os 2.926 -3.055 1.780
Ru 0.015 -0.014 0.027
Ru 1.140 -1.079 2.084
CELL_PARAMETERS angstrom
-0.804 -2.437 -0.822
3.193 -0.395 -1.951
2.309 -2.185 4.221
```

The value obtained for the offset from the most stable computed form is 26 meV/atom. Its density of states at the Fermi level is 4.339 states/eV/f.u.